# 1
A relaxed FeWOF2 crystal, computed with PBE+U.

a = 4.2281 Å, b = 4.2281 Å, c = 4.2041 Å
α = 90.00°, β = 90.00°, γ = 90.00°
Closest atoms and distances in Å follow each position.
Fractional coordinates of all 5 atoms:
O: 0.0000 0.0000 0.5000  2 W 2.10
Fe: 0.5000 0.5000 0.5000  8 F 2.98, 4 O 2.99
W: 0.0000 0.0000 0.0000  2 O 2.10, 4 F 2.11
F: 0.0000 0.5000 0.0000  2 W 2.11
F: 0.5000 0.0000 0.0000  2 W 2.11

Results
Excess energy over the best structure of this formula in the dataset   0 meV/atom
E_tot   -27.3 eV per cell
Spin magnetization   0.2 Bohr magnetons per cell

# 2
A relaxed FeWOF2 crystal, computed with PBE+U.

a = 3.8141 Å, b = 3.8141 Å, c = 4.2259 Å
α = 90.00°, β = 90.00°, γ = 90.00°
Closest atoms and distances in Å follow each position.
Fractional coordinates of all 5 atoms:
O: 0.0000 0.0000 0.5000  2 Fe 2.11
Fe: 0.0000 0.0000 0.0000  4 F 1.91, 2 O 2.11
W: 0.5000 0.5000 0.5000  4 O 2.70, 8 F 2.85
F: 0.0000 0.5000 0.0000  2 Fe 1.91
F: 0.5000 0.0000 0.0000  2 Fe 1.91

Results
Excess energy over the best structure of this formula in the dataset   450 meV/atom
E_tot   -25.1 eV per cell
Spin magnetization   4.0 Bohr magnetons per cell

# 3
A relaxed YFeOF2 crystal, computed with PBE+U.

a = 4.3886 Å, b = 4.3886 Å, c = 4.4027 Å
α = 90.00°, β = 90.00°, γ = 90.00°
Closest atoms and distances in Å follow each position.
Fractional coordinates of all 5 atoms:
Y: 0.0000 0.0000 0.0000  4 F 2.19, 2 O 2.20
Fe: 0.5000 0.5000 0.5000  4 O 3.10, 8 F 3.11
O: 0.0000 0.0000 0.5000  2 Y 2.20
F: 0.0000 0.5000 0.0000  2 Y 2.19
F: 0.5000 0.0000 0.0000  2 Y 2.19

Results
E_tot   -32.1 eV per cell
Spin magnetization   3.1 Bohr magnetons per cell

Please write out number 3 again, unchanged.
A relaxed YFeOF2 crystal, computed with PBE+U.

a = 4.3886 Å, b = 4.3886 Å, c = 4.4027 Å
α = 90.00°, β = 90.00°, γ = 90.00°
Closest atoms and distances in Å follow each position.
Fractional coordinates of all 5 atoms:
Y: 0.0000 0.0000 0.0000  4 F 2.19, 2 O 2.20
Fe: 0.5000 0.5000 0.5000  4 O 3.10, 8 F 3.11
O: 0.0000 0.0000 0.5000  2 Y 2.20
F: 0.0000 0.5000 0.0000  2 Y 2.19
F: 0.5000 0.0000 0.0000  2 Y 2.19

Results
E_tot   -32.1 eV per cell
Spin magnetization   3.1 Bohr magnetons per cell